VASP calculation (PBE) on crystalline NdSn2Se4 at its relaxed geometry.

a = 7.185 Å, b = 7.185 Å, c = 13.836 Å
α = 90.00°, β = 90.00°, γ = 146.88°
Element x y z (fractional)
Nd: 0.109 0.891 0.750
Nd: 0.891 0.109 0.250
Sn: 0.367 0.633 0.564
Sn: 0.367 0.633 0.936
Sn: 0.633 0.367 0.064
Sn: 0.633 0.367 0.436
Se: 0.000 0.000 0.000
Se: 0.000 0.000 0.500
Se: 0.282 0.718 0.127
Se: 0.282 0.718 0.373
Se: 0.456 0.544 0.750
Se: 0.544 0.456 0.250
Se: 0.718 0.282 0.627
Se: 0.718 0.282 0.873

Values from the calculation:
* symmetry: Cmcm
* formation energy (no corrections): -0.8780 eV/atom
* calculated volume: 390.3 Å³ per cell

---

VASP calculation (PBE) on crystalline NdSn6Se8 at its relaxed geometry.

a = 10.150 Å, b = 10.150 Å, c = 5.372 Å
α = 90.00°, β = 90.00°, γ = 120.00°
Element x y z (fractional)
Nd: 0.000 0.000 0.000
Sn: 0.101 0.426 0.839
Sn: 0.325 0.899 0.839
Sn: 0.426 0.325 0.161
Sn: 0.574 0.675 0.839
Sn: 0.675 0.101 0.161
Sn: 0.899 0.574 0.161
Se: 0.020 0.748 0.737
Se: 0.252 0.272 0.737
Se: 0.272 0.020 0.263
Se: 0.333 0.667 0.107
Se: 0.667 0.333 0.893
Se: 0.728 0.980 0.737
Se: 0.748 0.728 0.263
Se: 0.980 0.252 0.263

Values from the calculation:
* symmetry: P-3
* formation energy (no corrections): -0.5655 eV/atom
* calculated volume: 479.3 Å³ per cell

---

VASP calculation (PBE) on crystalline Nd6SnSe5 at its relaxed geometry.

a = 7.420 Å, b = 7.420 Å, c = 7.446 Å
α = 99.55°, β = 99.55°, γ = 119.99°
Element x y z (fractional)
Nd: 0.077 0.415 0.745
Nd: 0.245 0.245 0.252
Nd: 0.415 0.077 0.745
Nd: 0.585 0.923 0.255
Nd: 0.755 0.755 0.748
Nd: 0.923 0.585 0.255
Sn: 0.500 0.500 0.000
Se: 0.000 0.000 0.500
Se: 0.168 0.832 0.000
Se: 0.336 0.664 0.500
Se: 0.664 0.336 0.500
Se: 0.832 0.168 0.000

Values from the calculation:
* symmetry: C2/m
* formation energy (no corrections): -1.6689 eV/atom
* calculated volume: 335.0 Å³ per cell

---

VASP calculation (PBE) on crystalline Nd2SnSe5 at its relaxed geometry.

a = 7.919 Å, b = 7.919 Å, c = 13.371 Å
α = 90.00°, β = 90.00°, γ = 136.43°
Element x y z (fractional)
Nd: 0.168 0.832 0.573
Nd: 0.168 0.832 0.927
Nd: 0.832 0.168 0.073
Nd: 0.832 0.168 0.427
Sn: 0.179 0.821 0.250
Sn: 0.821 0.179 0.750
Se: 0.029 0.971 0.090
Se: 0.029 0.971 0.410
Se: 0.283 0.717 0.750
Se: 0.302 0.698 0.090
Se: 0.302 0.698 0.410
Se: 0.698 0.302 0.590
Se: 0.698 0.302 0.910
Se: 0.717 0.283 0.250
Se: 0.971 0.029 0.590
Se: 0.971 0.029 0.910

Values from the calculation:
* symmetry: Cmcm
* formation energy (no corrections): -1.1911 eV/atom
* calculated volume: 577.9 Å³ per cell
* E above lowest polymorph: 0.98 eV per formula unit

---

VASP calculation (PBE) on crystalline Nd2SnSe4 at its relaxed geometry.

a = 7.277 Å, b = 7.277 Å, c = 14.440 Å
α = 90.00°, β = 90.00°, γ = 146.39°
Element x y z (fractional)
Nd: 0.136 0.864 0.569
Nd: 0.136 0.864 0.931
Nd: 0.864 0.136 0.069
Nd: 0.864 0.136 0.431
Sn: 0.394 0.606 0.750
Sn: 0.606 0.394 0.250
Se: 0.034 0.966 0.750
Se: 0.228 0.772 0.118
Se: 0.228 0.772 0.382
Se: 0.500 0.500 0.000
Se: 0.500 0.500 0.500
Se: 0.772 0.228 0.618
Se: 0.772 0.228 0.882
Se: 0.966 0.034 0.250

Values from the calculation:
* symmetry: Cmcm
* formation energy (no corrections): -1.4108 eV/atom
* calculated volume: 423.3 Å³ per cell
* E above lowest polymorph: 0.00 eV per formula unit

---

VASP calculation (PBE) on crystalline Nd4SnSe2 at its relaxed geometry.

a = 7.187 Å, b = 7.187 Å, c = 14.231 Å
α = 90.00°, β = 90.00°, γ = 144.91°
Element x y z (fractional)
Nd: 0.000 0.000 0.000
Nd: 0.000 0.000 0.500
Nd: 0.271 0.729 0.622
Nd: 0.271 0.729 0.878
Nd: 0.442 0.558 0.250
Nd: 0.558 0.442 0.750
Nd: 0.729 0.271 0.122
Nd: 0.729 0.271 0.378
Sn: 0.108 0.892 0.250
Sn: 0.892 0.108 0.750
Se: 0.364 0.636 0.061
Se: 0.364 0.636 0.439
Se: 0.636 0.364 0.561
Se: 0.636 0.364 0.939

Values from the calculation:
* symmetry: Cmcm
* formation energy (no corrections): -1.2883 eV/atom
* calculated volume: 422.6 Å³ per cell

---

VASP calculation (PBE) on crystalline NdSn6Se8 at its relaxed geometry.

a = 7.949 Å, b = 7.949 Å, c = 7.949 Å
α = 79.10°, β = 79.10°, γ = 79.10°
Element x y z (fractional)
Nd: 0.000 0.000 0.000
Sn: 0.135 0.375 0.621
Sn: 0.375 0.621 0.135
Sn: 0.379 0.865 0.625
Sn: 0.621 0.135 0.375
Sn: 0.625 0.379 0.865
Sn: 0.865 0.625 0.379
Se: 0.127 0.824 0.332
Se: 0.176 0.668 0.873
Se: 0.295 0.295 0.295
Se: 0.332 0.127 0.824
Se: 0.668 0.873 0.176
Se: 0.705 0.705 0.705
Se: 0.824 0.332 0.127
Se: 0.873 0.176 0.668

Values from the calculation:
* symmetry: R-3
* formation energy (no corrections): -0.5662 eV/atom
* calculated volume: 478.2 Å³ per cell

---

VASP calculation (PBE) on crystalline Nd6SnSe4 at its relaxed geometry.

a = 7.239 Å, b = 7.239 Å, c = 21.388 Å
α = 90.00°, β = 90.00°, γ = 145.44°
Element x y z (fractional)
Nd: 0.000 0.000 0.000
Nd: 0.000 0.000 0.500
Nd: 0.167 0.833 0.750
Nd: 0.271 0.729 0.087
Nd: 0.271 0.729 0.413
Nd: 0.453 0.547 0.663
Nd: 0.453 0.547 0.837
Nd: 0.547 0.453 0.163
Nd: 0.547 0.453 0.337
Nd: 0.729 0.271 0.587
Nd: 0.729 0.271 0.913
Nd: 0.833 0.167 0.250
Sn: 0.165 0.835 0.250
Sn: 0.835 0.165 0.750
Se: 0.091 0.909 0.624
Se: 0.091 0.909 0.876
Se: 0.362 0.638 0.539
Se: 0.362 0.638 0.961
Se: 0.638 0.362 0.039
Se: 0.638 0.362 0.461
Se: 0.909 0.091 0.124
Se: 0.909 0.091 0.376

Values from the calculation:
* symmetry: Cmcm
* formation energy (no corrections): -1.4918 eV/atom
* calculated volume: 635.8 Å³ per cell

---

VASP calculation (PBE) on crystalline Nd3Sn5Se12 at its relaxed geometry.

a = 14.642 Å, b = 14.642 Å, c = 14.642 Å
α = 109.47°, β = 109.47°, γ = 109.47°
Element x y z (fractional)
Nd: 0.125 0.250 0.375
Nd: 0.125 0.375 0.750
Nd: 0.250 0.375 0.125
Nd: 0.250 0.875 0.625
Nd: 0.375 0.125 0.250
Nd: 0.375 0.750 0.125
Nd: 0.625 0.250 0.875
Nd: 0.625 0.875 0.750
Nd: 0.750 0.125 0.375
Nd: 0.750 0.625 0.875
Nd: 0.875 0.625 0.250
Nd: 0.875 0.750 0.625
Sn: 0.000 0.000 0.000
Sn: 0.000 0.000 0.500
Sn: 0.000 0.500 0.000
Sn: 0.000 0.500 0.500
Sn: 0.125 0.750 0.875
Sn: 0.125 0.875 0.250
Sn: 0.250 0.125 0.875
Sn: 0.250 0.625 0.375
Sn: 0.375 0.250 0.625
Sn: 0.375 0.625 0.750
Sn: 0.500 0.000 0.000
Sn: 0.500 0.000 0.500
Sn: 0.500 0.500 0.000
Sn: 0.500 0.500 0.500
Sn: 0.625 0.375 0.250
Sn: 0.625 0.750 0.375
Sn: 0.750 0.375 0.625
Sn: 0.750 0.875 0.125
Sn: 0.875 0.125 0.750
Sn: 0.875 0.250 0.125
Se: 0.047 0.222 0.136
Se: 0.047 0.325 0.911
Se: 0.087 0.722 0.675
Se: 0.087 0.864 0.411
Se: 0.089 0.636 0.413
Se: 0.089 0.953 0.675
Se: 0.136 0.047 0.222
Se: 0.136 0.589 0.913
Se: 0.175 0.222 0.587
Se: 0.175 0.453 0.589
Se: 0.222 0.136 0.047
Se: 0.222 0.587 0.175
Se: 0.278 0.325 0.913
Se: 0.278 0.453 0.364
Se: 0.325 0.911 0.047
Se: 0.325 0.913 0.278
Se: 0.364 0.278 0.453
Se: 0.364 0.587 0.911
Se: 0.411 0.087 0.864
Se: 0.411 0.825 0.547
Se: 0.413 0.089 0.636
Se: 0.413 0.825 0.778
Se: 0.453 0.364 0.278
Se: 0.453 0.589 0.175
Se: 0.547 0.411 0.825
Se: 0.547 0.636 0.722
Se: 0.587 0.175 0.222
Se: 0.587 0.911 0.364
Se: 0.589 0.175 0.453
Se: 0.589 0.913 0.136
Se: 0.636 0.413 0.089
Se: 0.636 0.722 0.547
Se: 0.675 0.087 0.722
Se: 0.675 0.089 0.953
Se: 0.722 0.547 0.636
Se: 0.722 0.675 0.087
Se: 0.778 0.413 0.825
Se: 0.778 0.864 0.953
Se: 0.825 0.547 0.411
Se: 0.825 0.778 0.413
Se: 0.864 0.411 0.087
Se: 0.864 0.953 0.778
Se: 0.911 0.047 0.325
Se: 0.911 0.364 0.587
Se: 0.913 0.136 0.589
Se: 0.913 0.278 0.325
Se: 0.953 0.675 0.089
Se: 0.953 0.778 0.864

Values from the calculation:
* symmetry: Ia-3d
* formation energy (no corrections): -0.8733 eV/atom
* calculated volume: 2416.3 Å³ per cell

---

VASP calculation (PBE) on crystalline Sr2NdSnSe5 at its relaxed geometry.

a = 9.457 Å, b = 9.457 Å, c = 13.123 Å
α = 90.00°, β = 90.00°, γ = 153.24°
Element x y z (fractional)
Sr: 0.112 0.888 0.500
Sr: 0.135 0.865 0.126
Sr: 0.865 0.135 0.626
Sr: 0.888 0.112 0.000
Nd: 0.213 0.787 0.835
Nd: 0.787 0.213 0.335
Sn: 0.464 0.536 0.270
Sn: 0.536 0.464 0.770
Se: 0.051 0.949 0.890
Se: 0.283 0.717 0.487
Se: 0.320 0.680 0.184
Se: 0.370 0.630 0.816
Se: 0.491 0.509 0.578
Se: 0.509 0.491 0.078
Se: 0.630 0.370 0.316
Se: 0.680 0.320 0.684
Se: 0.717 0.283 0.987
Se: 0.949 0.051 0.390

Values from the calculation:
* symmetry: Cmc2_1
* formation energy (no corrections): -1.4931 eV/atom
* calculated volume: 528.5 Å³ per cell

---

VASP calculation (PBE) on crystalline TbNdSnSe at its relaxed geometry.

a = 4.323 Å, b = 4.323 Å, c = 6.161 Å
α = 90.00°, β = 90.00°, γ = 90.00°
Element x y z (fractional)
Tb: 0.000 0.000 0.000
Nd: 0.500 0.500 0.500
Sn: 0.500 0.500 0.000
Se: 0.000 0.000 0.500

Values from the calculation:
* symmetry: P4/mmm
* formation energy (no corrections): -1.2817 eV/atom
* calculated volume: 115.1 Å³ per cell

---

VASP calculation (PBE) on crystalline Nd4SnTe2Se at its relaxed geometry.

a = 7.649 Å, b = 4.443 Å, c = 7.796 Å
α = 90.00°, β = 109.39°, γ = 90.00°
Element x y z (fractional)
Nd: 0.239 0.000 0.229
Nd: 0.250 0.500 0.764
Nd: 0.750 0.500 0.236
Nd: 0.761 0.000 0.771
Sn: 0.500 0.000 0.000
Te: 0.000 0.000 0.500
Te: 0.500 0.500 0.500
Se: 0.000 0.500 0.000

Values from the calculation:
* symmetry: P2/m
* formation energy (no corrections): -1.3936 eV/atom
* calculated volume: 249.9 Å³ per cell